[1]
Below is a relaxed ScCdBr crystal, with properties calculated at the GGA-PBEsol level.

Geometry as extended XYZ:
```
3
Lattice="4.726 0.000 0.000 2.363 4.093 0.000 2.363 1.364 3.859" Properties=species:S:1:pos:R:3 pbc="T T T"
Br 7.089 4.093 2.894
Cd 0.000 0.000 0.000
Sc 4.726 2.729 1.929
```

Calculated values
For the total energy, the calculation gives -3.255 eV/atom. The calculation puts the formation energy (no corrections) at -31 meV/atom. For the density of states at the Fermi level, the calculation gives 1.67 states/eV per cell. The excess energy over the best structure of this formula in the dataset is 557 meV/atom.

[2]
Below is a relaxed Sc2CdBr crystal, with properties calculated at the GGA-PBEsol level.

Geometry as extended XYZ:
```
4
Lattice="3.386 0.000 0.000 0.000 3.498 0.031 0.000 -0.077 7.781" Properties=species:S:1:pos:R:3 pbc="T T T"
Br 1.693 -0.038 3.890
Cd 1.693 1.749 0.015
Sc 0.000 3.438 6.084
Sc 0.000 -0.016 1.728
```

Calculated values
For the total energy, the calculation gives -4.612 eV/atom. The calculation puts the formation energy (no corrections) at -543 meV/atom. For the density of states at the Fermi level, the calculation gives 3.84 states/eV per cell.

[3]
Below is a relaxed Zr2ScCdBr crystal, with properties calculated at the GGA-PBEsol level.

Geometry as extended XYZ:
```
5
Lattice="-0.330 5.056 1.453 -3.875 -1.219 3.360 3.555 -0.857 3.789" Properties=species:S:1:pos:R:3 pbc="T T T"
Sc -0.325 1.490 4.301
Br 1.778 -0.428 1.895
Zr -1.937 -0.609 1.680
Zr -0.165 2.528 0.727
Cd 0.000 0.000 0.000
```

Calculated values
For the total energy, the calculation gives -4.425 eV/atom. The calculation puts the formation energy (no corrections) at 1145 meV/atom. For the density of states at the Fermi level, the calculation gives 9.58 states/eV per cell.

[4]
Below is a relaxed Cd2SeBr crystal, with properties calculated at the GGA-PBEsol level.

Geometry as extended XYZ:
```
4
Lattice="3.558 0.000 0.000 0.000 3.558 0.000 0.000 0.000 7.169" Properties=species:S:1:pos:R:3 pbc="T T T"
Br 1.779 1.779 3.585
Cd 0.000 0.000 5.610
Cd 0.000 0.000 1.559
Se 1.779 1.779 0.000
```

Calculated values
For the total energy, the calculation gives -2.215 eV/atom. The calculation puts the formation energy (no corrections) at -187 meV/atom. For the density of states at the Fermi level, the calculation gives 1.35 states/eV per cell. The excess energy over the best structure of this formula in the dataset is 57 meV/atom.

[5]
Below is a relaxed Cd2SeBr crystal, with properties calculated at the GGA-PBEsol level.

Geometry as extended XYZ:
```
4
Lattice="5.002 0.000 0.000 2.501 4.332 0.000 2.501 1.444 4.085" Properties=species:S:1:pos:R:3 pbc="T T T"
Br 0.000 0.000 0.000
Cd 2.501 1.444 1.021
Cd 7.504 4.332 3.063
Se 5.002 2.888 2.042
```

Calculated values
For the total energy, the calculation gives -2.207 eV/atom. The calculation puts the formation energy (no corrections) at -178 meV/atom. For the density of states at the Fermi level, the calculation gives 1.27 states/eV per cell. The excess energy over the best structure of this formula in the dataset is 65 meV/atom.

[6]
Below is a relaxed Cd2SeBr crystal, with properties calculated at the GGA-PBEsol level.

Geometry as extended XYZ:
```
4
Lattice="-1.070 3.825 -0.951 -2.260 -2.277 2.157 3.479 2.548 6.335" Properties=species:S:1:pos:R:3 pbc="T T T"
Br -0.535 1.913 -0.475
Cd 2.533 1.855 4.613
Cd 0.946 0.693 1.722
Se 1.204 3.187 2.692
```

Calculated values
For the total energy, the calculation gives -2.272 eV/atom. The calculation puts the formation energy (no corrections) at -243 meV/atom. For the density of states at the Fermi level, the calculation gives 1.02 states/eV per cell. The excess energy over the best structure of this formula in the dataset is 0 meV/atom.